# 1
The following is a PBE calculation of a relaxed AcTb2YSe6 crystal, from Alexandria via LeMat-Bulk.

Computed properties:
Uncorrected formation energy = -1.883 eV per atom
Total moment = 0.00 μB/cell

Geometry as extended XYZ:
```
10
Lattice="7.4032 -0.0001 0.0000 3.7014 6.4115 -0.0001 3.7011 2.1373 6.5372" Properties=species:S:1:pos:R:3 pbc="T T T"
Ac 11.1042 6.4115 3.8170
Tb 7.4030 4.2741 2.9173
Tb 3.7010 2.1375 6.3273
Y 3.7015 2.1371 0.2965
Se 6.2766 1.9939 1.5991
Se 5.9912 6.3900 1.5991
Se 9.9416 4.4389 1.5995
Se 8.2397 6.2612 4.8761
Se 8.7046 2.5556 4.8766
Se 5.2637 4.0063 4.8764
```

# 2
The following is a PBE calculation of a relaxed Be2GaBiMo crystal, from Alexandria via LeMat-Bulk.

Computed properties:
ΔH_f (0 K) = 0.933 eV per atom
Total moment = 1.80 μB/cell

Geometry as extended XYZ:
```
5
Lattice="-2.2754 1.7709 -3.1793 0.0110 -4.3427 -2.4268 -3.6392 -1.1170 1.9824" Properties=species:S:1:pos:R:3 pbc="T T T"
Be -1.8196 -0.5585 0.9912
Be -1.1377 0.8854 -1.5896
Mo 0.0055 -2.1714 -1.2134
Bi -2.9518 -1.8444 -1.8118
Ga 0.0000 0.0000 0.0000
```

# 3
The following is a PBE calculation of a relaxed BePdPbAu crystal, from Alexandria via LeMat-Bulk.

Computed properties:
ΔH_f (0 K) = -0.158 eV per atom
Total moment = 0.00 μB/cell
Energy above the lowest structure with this stoichiometry = 0 meV per atom

Geometry as extended XYZ:
```
4
Lattice="-1.6728 2.3622 -2.2941 -0.9421 -3.5712 -0.0171 -4.4429 1.1509 4.4247" Properties=species:S:1:pos:R:3 pbc="T T T"
Pb -2.3427 -1.2936 0.3762
Be -4.6658 -0.6919 2.6897
Au -2.7663 0.7166 2.7550
Pd -5.5376 1.4487 2.5564
```